The following is a PBEsol calculation of a relaxed Eu2ZnIn crystal, from Alexandria.

Calculated values
- ΔE_f (eV/atom) = -0.372
- spin magnetization (Bohr magnetons per cell) = 13.97
- SG = No. 225

Cell lengths 5.335, 5.335, 5.335 Å; angles 60.00, 60.00, 60.00 degrees
Atoms (fractional coordinates):
Eu: 0.250 0.250 0.250
Eu: 0.750 0.750 0.750
Zn: 0.000 0.000 0.000
In: 0.500 0.500 0.500

The following is a PBEsol calculation of a relaxed CaHg4Sb crystal, from Alexandria.

Calculated values
- spin magnetization (Bohr magnetons per cell) = 0.00
- SG = No. 216
- formation energy from raw total energies (kJ per mole of atoms) = -17

Cell lengths 5.944, 5.944, 5.944 Å; angles 60.00, 60.00, 60.00 degrees
Atoms (fractional coordinates):
Ca: 0.000 0.000 0.000
Hg: 0.375 0.375 0.375
Hg: 0.375 0.375 0.875
Hg: 0.375 0.875 0.375
Hg: 0.875 0.375 0.375
Sb: 0.750 0.750 0.750

The following is a PBEsol calculation of a relaxed ScH2AuN crystal, from Alexandria.

Calculated values
- spin magnetization (Bohr magnetons per cell) = 0.00
- final energy (eV/atom) = -5.37
- SG = No. 123

Cell lengths 3.290, 3.290, 5.009 Å; angles 90.00, 90.00, 90.00 degrees
Atoms (fractional coordinates):
Sc: 0.000 0.000 0.000
H: 0.000 0.500 0.500
H: 0.500 0.000 0.500
Au: 0.500 0.500 0.500
N: 0.500 0.500 0.000

The following is a PBEsol calculation of a relaxed CaNiAs3 crystal, from Alexandria.

Calculated values
- ΔE_f (eV/atom) = -0.169
- spin magnetization (Bohr magnetons per cell) = 0.00
- SG = No. 221

Cell lengths 4.664, 4.664, 4.664 Å; angles 90.00, 90.00, 90.00 degrees
Atoms (fractional coordinates):
Ca: 0.000 0.000 0.000
Ni: 0.500 0.500 0.500
As: 0.000 0.500 0.500
As: 0.500 0.000 0.500
As: 0.500 0.500 0.000